1.
VASP calculation (PBE) on ZrBi2Mo after structural relaxation.

Output
* total energy: -103.239 eV/cell

abc: 7.1558 7.1558 7.1558
angles: 90.00 90.00 90.00
Space group F-43m (No. 216)
Symmetry-distinct sites (fractional):
Zr1 0.0000 0.0000 0.0000
Bi1 0.0000 0.0000 0.5000
Bi2 0.2500 0.2500 0.7500
Mo1 0.2500 0.2500 0.2500

2.
VASP calculation (PBE) on HoTlZnS3 after structural relaxation.

Output
* distance to the lowest polymorph of the same formula: 1 meV per atom
* total energy: -111.764 eV/cell

abc: 3.9544 14.2451 10.5005
angles: 90.00 90.00 90.00
Space group Cmcm (No. 63)
Symmetry-distinct sites (fractional):
Ho1 0.0000 0.0000 0.0000
Tl1 0.0000 0.2537 0.2500
Zn1 0.0000 0.4604 0.7500
S1 0.0000 0.0600 0.7500
S2 0.0000 0.3757 0.5618

What is the formula in the second record? HoTlZnS3

The highest total energy belongs to which entry? ZrBi2Mo

The lowest total energy belongs to which entry? HoTlZnS3